1.
10
Lattice="5.297 -2.191 0.000 5.297 2.191 0.000 -4.842 0.000 9.189" Properties=species:S:1:pos:R:3 comment="Ho2ZnGa2, optimized geometry, DFT PBE" formation_enthalpy_0k_ev_per_atom=-0.58 space_group="No. 12" vol_a3_per_fu=106.6 total_energy_ha_per_atom=-0.143 pbc="T T T"
Ho -1.423 0.000 3.046
Ho 1.477 0.000 0.883
Ho 4.275 0.000 8.305
Ho 7.175 0.000 6.143
Zn -0.269 0.000 6.030
Zn 6.022 0.000 3.159
Ga 1.723 0.000 3.978
Ga 4.504 0.000 1.072
Ga 1.248 0.000 8.117
Ga 4.029 0.000 5.211

=====

2.
12
Lattice="4.229 0.000 0.000 -2.115 3.663 0.000 0.000 0.000 15.236" Properties=species:S:1:pos:R:3 comment="HoZnGa2, optimized geometry, DFT PBE" formation_enthalpy_0k_ev_per_atom=-0.41 space_group="No. 166" vol_a3_per_fu=78.7 total_energy_ha_per_atom=-0.124 pbc="T T T"
Ho 0.000 0.000 0.000
Ho 0.000 2.442 10.157
Ho 2.115 1.221 5.079
Zn 0.000 0.000 7.618
Zn 0.000 2.442 2.539
Zn 2.115 1.221 12.696
Ga 0.000 0.000 3.376
Ga 0.000 0.000 11.860
Ga 0.000 2.442 6.782
Ga 0.000 2.442 13.533
Ga 2.115 1.221 1.703
Ga 2.115 1.221 8.454

=====

3.
16
Lattice="2.177 -5.287 0.000 2.177 5.287 0.000 0.000 0.000 14.431" Properties=species:S:1:pos:R:3 comment="Ho3Zn2Ga3, optimized geometry, DFT PBE" formation_enthalpy_0k_ev_per_atom=-0.56 space_group="No. 63" vol_a3_per_fu=166.1 total_energy_ha_per_atom=-0.137 pbc="T T T"
Ho 2.177 4.361 8.834
Ho 2.177 4.361 12.812
Ho 2.177 1.441 10.823
Ho 2.177 -1.441 3.608
Ho 2.177 -4.361 1.619
Ho 2.177 -4.361 5.597
Zn 2.177 3.093 1.415
Zn 2.177 3.093 5.801
Zn 2.177 -3.093 8.630
Zn 2.177 -3.093 13.016
Ga 2.177 1.640 3.608
Ga 2.177 1.168 7.796
Ga 2.177 1.168 13.851
Ga 2.177 -1.168 0.580
Ga 2.177 -1.168 6.635
Ga 2.177 -1.640 10.823

=====

4.
14
Lattice="4.148 0.000 0.000 0.000 20.038 0.000 0.000 0.000 3.393" Properties=species:S:1:pos:R:3 comment="Ho2Zn3Ga2, optimized geometry, DFT PBE" formation_enthalpy_0k_ev_per_atom=-0.29 space_group="No. 65" de_polymorph_mev_per_atom=170.7 vol_a3_per_fu=141.0 total_energy_ha_per_atom=-0.111 pbc="T T T"
Ho 0.000 3.064 0.000
Ho 0.000 16.974 0.000
Ho 2.074 6.955 0.000
Ho 2.074 13.083 0.000
Zn 0.000 0.000 0.000
Zn 0.000 8.711 1.696
Zn 0.000 11.327 1.696
Zn 2.074 1.308 1.696
Zn 2.074 10.019 0.000
Zn 2.074 18.730 1.696
Ga 0.000 5.737 1.696
Ga 0.000 14.301 1.696
Ga 2.074 4.282 1.696
Ga 2.074 15.756 1.696

=====

5.
19
Lattice="6.490 3.747 3.878 -6.490 3.747 3.878 0.000 -7.494 3.878" Properties=species:S:1:pos:R:3 comment="Ho12ZnGa6, optimized geometry, DFT PBE" formation_enthalpy_0k_ev_per_atom=-0.15 space_group="No. 148" vol_a3_per_fu=565.8 total_energy_ha_per_atom=-0.149 pbc="T T T"
Ho -5.653 -1.365 6.471
Ho -1.644 -5.578 5.163
Ho -2.502 -0.386 4.521
Ho -4.009 4.213 5.163
Ho 1.585 -1.974 4.521
Ho -0.917 -2.359 7.113
Ho 0.917 2.359 4.521
Ho -1.585 1.974 7.113
Ho 4.009 -4.213 6.471
Ho 2.502 0.386 7.113
Ho 1.644 5.578 6.471
Ho 5.653 1.365 5.163
Zn 0.000 0.000 0.000
Ga -1.096 -2.929 4.094
Ga -1.988 2.414 4.094
Ga -3.084 -0.515 7.540
Ga 3.084 0.515 4.094
Ga 1.988 -2.414 7.540
Ga 1.096 2.929 7.540

=====

6.
12
Lattice="4.252 0.000 0.000 -2.126 3.682 0.000 0.000 0.000 14.869" Properties=species:S:1:pos:R:3 comment="HoZn2Ga, optimized geometry, DFT PBE" formation_enthalpy_0k_ev_per_atom=-0.29 space_group="No. 166" vol_a3_per_fu=77.6 total_energy_ha_per_atom=-0.104 pbc="T T T"
Ho 0.000 0.000 0.000
Ho 0.000 2.455 9.913
Ho 2.126 1.227 4.956
Zn 0.000 0.000 3.253
Zn 0.000 0.000 11.616
Zn 0.000 2.455 6.660
Zn 0.000 2.455 13.165
Zn 2.126 1.227 1.704
Zn 2.126 1.227 8.209
Ga 0.000 0.000 7.434
Ga 0.000 2.455 2.478
Ga 2.126 1.227 12.391

=====

7.
12
Lattice="7.622 -2.102 0.000 7.622 2.102 0.000 -3.359 0.000 6.740" Properties=species:S:1:pos:R:3 comment="HoZn3Ga2, optimized geometry, DFT PBE" formation_enthalpy_0k_ev_per_atom=-0.31 space_group="No. 12" de_polymorph_mev_per_atom=0.0 vol_a3_per_fu=108.0 total_energy_ha_per_atom=-0.100 pbc="T T T"
Ho 1.931 0.000 0.495
Ho 9.955 0.000 6.245
Zn -0.696 0.000 2.526
Zn 2.944 0.000 3.609
Zn 4.953 0.000 1.821
Zn 6.933 0.000 4.919
Zn 8.942 0.000 3.131
Zn 12.582 0.000 4.214
Ga 0.691 0.000 4.865
Ga 4.543 0.000 5.566
Ga 7.343 0.000 1.174
Ga 11.194 0.000 1.875

=====

8.
18
Lattice="-4.763 4.811 5.152 4.763 -4.811 5.152 4.763 4.811 -5.152" Properties=species:S:1:pos:R:3 comment="Ho6ZnGa2, optimized geometry, DFT PBE" formation_enthalpy_0k_ev_per_atom=-0.35 space_group="No. 71" de_polymorph_mev_per_atom=0.0 vol_a3_per_fu=236.1 total_energy_ha_per_atom=-0.155 pbc="T T T"
Ho 4.763 -2.824 3.334
Ho 2.901 0.000 2.534
Ho 6.625 0.000 2.534
Ho 3.070 2.602 0.000
Ho 6.456 2.602 0.000
Ho 0.000 1.988 1.818
Ho 4.763 2.824 3.334
Ho -1.693 2.209 5.152
Ho 1.693 2.209 5.152
Ho -1.862 4.811 2.617
Ho 1.862 4.811 2.617
Ho 0.000 7.635 1.818
Zn 4.763 0.000 0.000
Zn 0.000 4.811 0.000
Ga 1.408 0.000 0.000
Ga 8.118 0.000 0.000
Ga 0.000 0.000 3.887
Ga 0.000 0.000 6.417

=====

9.
6
Lattice="0.000 3.788 3.788 3.788 0.000 3.788 3.788 3.788 0.000" Properties=species:S:1:pos:R:3 comment="HoZn4Ga, optimized geometry, DFT PBE" formation_enthalpy_0k_ev_per_atom=-0.14 space_group="No. 216" vol_a3_per_fu=108.7 total_energy_ha_per_atom=-0.083 pbc="T T T"
Ho 0.000 0.000 0.000
Zn 4.737 2.840 2.840
Zn 2.840 4.737 2.840
Zn 2.840 2.840 4.737
Zn 4.737 4.737 4.737
Ga 1.894 1.894 1.894

=====

10.
8
Lattice="3.986 0.000 0.000 0.000 4.209 0.000 -1.990 0.000 9.156" Properties=species:S:1:pos:R:3 comment="HoZn2Ga, optimized geometry, DFT PBE" formation_enthalpy_0k_ev_per_atom=-0.40 space_group="No. 11" vol_a3_per_fu=76.8 total_energy_ha_per_atom=-0.108 pbc="T T T"
Ho 0.002 1.052 1.983
Ho 1.994 3.157 7.173
Zn 0.002 3.157 4.619
Zn 0.006 1.052 8.575
Zn 1.989 3.157 0.581
Zn 1.994 1.052 4.537
Ga 0.001 1.052 6.125
Ga 1.995 3.157 3.031

=====

11.
12
Lattice="0.000 4.391 7.563 3.622 0.000 7.563 3.622 4.391 0.000" Properties=species:S:1:pos:R:3 comment="Ho2ZnGa3, optimized geometry, DFT PBE" formation_enthalpy_0k_ev_per_atom=-0.60 space_group="No. 69" de_polymorph_mev_per_atom=0.0 vol_a3_per_fu=120.3 total_energy_ha_per_atom=-0.141 pbc="T T T"
Ho 5.439 4.391 7.563
Ho 1.811 2.195 3.781
Ho 5.433 6.586 11.344
Ho 1.805 4.391 7.563
Zn 3.622 4.391 5.042
Zn 3.622 4.391 10.084
Ga 3.622 4.391 2.532
Ga 3.622 2.208 6.293
Ga 3.622 2.208 8.833
Ga 3.622 6.574 6.293
Ga 3.622 6.574 8.833
Ga 3.622 4.391 12.594

=====

12.
8
Lattice="4.209 0.000 0.000 0.000 4.209 0.000 0.000 0.000 8.179" Properties=species:S:1:pos:R:3 comment="HoZn4Ga3, optimized geometry, DFT PBE" formation_enthalpy_0k_ev_per_atom=-0.23 space_group="No. 123" vol_a3_per_fu=144.9 total_energy_ha_per_atom=-0.095 pbc="T T T"
Ho 0.000 0.000 0.000
Zn 0.000 2.104 2.602
Zn 0.000 2.104 5.577
Zn 2.104 0.000 2.602
Zn 2.104 0.000 5.577
Ga 0.000 0.000 4.090
Ga 2.104 2.104 1.195
Ga 2.104 2.104 6.985

=====

13.
17
Lattice="-4.371 4.371 4.371 4.371 -4.371 4.371 4.371 4.371 -4.371" Properties=species:S:1:pos:R:3 comment="HoZn12Ga4, optimized geometry, DFT PBE" formation_enthalpy_0k_ev_per_atom=0.17 space_group="No. 204" vol_a3_per_fu=334.0 total_energy_ha_per_atom=-0.063 pbc="T T T"
Ho 0.000 0.000 0.000
Zn 3.083 1.286 0.000
Zn 5.658 1.286 0.000
Zn 4.371 -1.287 3.085
Zn 3.085 4.371 -1.287
Zn 1.286 0.000 3.083
Zn 0.000 3.083 1.286
Zn 4.371 1.287 3.085
Zn 3.085 4.371 1.287
Zn 1.286 0.000 5.658
Zn 0.000 5.658 1.286
Zn -1.287 3.085 4.371
Zn 1.287 3.085 4.371
Ga 2.185 2.185 -2.185
Ga 2.185 -2.185 2.185
Ga -2.185 2.185 2.185
Ga 2.185 2.185 2.185

=====

14.
4
Lattice="4.162 0.000 0.000 0.000 4.162 0.000 0.000 0.000 4.405" Properties=species:S:1:pos:R:3 comment="HoZn2Ga, optimized geometry, DFT PBE" formation_enthalpy_0k_ev_per_atom=-0.34 space_group="No. 123" vol_a3_per_fu=76.3 total_energy_ha_per_atom=-0.106 pbc="T T T"
Ho 0.000 0.000 0.000
Zn 0.000 2.081 2.202
Zn 2.081 0.000 2.202
Ga 2.081 2.081 0.000

=====

15.
9
Lattice="-2.458 3.487 7.406 2.458 -3.487 7.406 2.458 3.487 -7.406" Properties=species:S:1:pos:R:3 comment="Ho6ZnGa2, optimized geometry, DFT PBE" formation_enthalpy_0k_ev_per_atom=-0.15 space_group="No. 71" de_polymorph_mev_per_atom=199.2 vol_a3_per_fu=253.9 total_energy_ha_per_atom=-0.148 pbc="T T T"
Ho 2.458 1.731 -2.461
Ho 0.000 1.726 0.000
Ho 2.458 1.731 2.461
Ho 0.000 1.756 4.945
Ho 0.000 5.248 0.000
Ho 0.000 1.756 9.866
Zn 2.458 0.000 0.000
Ga 2.458 0.000 4.933
Ga 0.000 3.487 2.473

=====

16.
6
Lattice="4.909 0.000 0.000 0.000 4.909 0.000 0.000 0.000 7.027" Properties=species:S:1:pos:R:3 comment="Ho4ZnGa, optimized geometry, DFT PBE" formation_enthalpy_0k_ev_per_atom=-0.11 space_group="No. 123" vol_a3_per_fu=169.3 total_energy_ha_per_atom=-0.142 pbc="T T T"
Ho 0.000 2.454 1.732
Ho 0.000 2.454 5.295
Ho 2.454 0.000 1.732
Ho 2.454 0.000 5.295
Zn 0.000 0.000 0.000
Ga 2.454 2.454 3.514

=====

17.
28
Lattice="8.682 0.000 0.000 0.000 5.263 0.000 0.000 0.000 10.444" Properties=species:S:1:pos:R:3 comment="HoZn5Ga, optimized geometry, DFT PBE" formation_enthalpy_0k_ev_per_atom=-0.21 space_group="No. 62" vol_a3_per_fu=119.3 total_energy_ha_per_atom=-0.081 pbc="T T T"
Ho 2.111 1.316 0.653
Ho 2.230 3.947 5.875
Ho 6.452 1.316 4.569
Ho 6.571 3.947 9.790
Zn 0.465 3.947 0.952
Zn 0.613 0.052 3.222
Zn 0.613 2.580 3.222
Zn 0.729 1.316 5.457
Zn 1.681 1.316 7.843
Zn 2.660 3.947 2.621
Zn 3.612 3.947 0.236
Zn 3.728 2.683 8.444
Zn 3.728 5.211 8.444
Zn 3.877 1.316 6.174
Zn 4.806 3.947 4.270
Zn 4.954 0.052 2.000
Zn 4.954 2.580 2.000
Zn 5.070 1.316 10.208
Zn 6.022 1.316 7.823
Zn 7.001 3.947 2.601
Zn 7.953 3.947 4.986
Zn 8.069 2.683 7.222
Zn 8.069 5.211 7.222
Zn 8.218 1.316 9.492
Ga 1.150 3.947 8.904
Ga 3.191 1.316 3.682
Ga 5.491 3.947 6.762
Ga 7.532 1.316 1.540

=====

18.
20
Lattice="-5.339 5.817 2.927 5.339 -5.817 2.927 5.339 5.817 -2.927" Properties=species:S:1:pos:R:3 comment="Ho2Zn5Ga3, optimized geometry, DFT PBE" formation_enthalpy_0k_ev_per_atom=-0.40 space_group="No. 72" de_polymorph_mev_per_atom=0.0 vol_a3_per_fu=181.8 total_energy_ha_per_atom=-0.105 pbc="T T T"
Ho 2.640 1.447 0.000
Ho 2.640 -1.447 2.927
Ho 2.699 7.264 0.000
Ho 2.699 4.370 2.927
Zn 5.339 -2.866 1.464
Zn 9.243 1.486 0.000
Zn 5.339 0.000 1.464
Zn 3.904 4.331 0.000
Zn 5.339 2.866 1.464
Zn 0.000 2.951 1.464
Zn 1.435 1.486 2.927
Zn 0.000 5.817 1.464
Zn -3.904 4.331 2.927
Zn 0.000 8.683 1.464
Ga 6.850 1.455 0.000
Ga 0.000 0.000 1.464
Ga 1.511 4.362 0.000
Ga 3.828 1.455 2.927
Ga 0.000 0.000 4.391
Ga -1.511 4.362 2.927

=====

19.
16
Lattice="2.151 -7.928 0.000 2.151 7.928 0.000 0.000 0.000 8.807" Properties=species:S:1:pos:R:3 comment="Ho2Zn5Ga, optimized geometry, DFT PBE" formation_enthalpy_0k_ev_per_atom=-0.39 space_group="No. 63" vol_a3_per_fu=150.2 total_energy_ha_per_atom=-0.100 pbc="T T T"
Ho 0.000 0.000 0.000
Ho 0.000 0.000 4.404
Ho 2.151 4.775 6.605
Ho 2.151 -4.775 2.202
Zn 2.151 4.939 0.938
Zn 2.151 4.939 3.465
Zn 2.151 2.352 0.211
Zn 2.151 2.352 4.192
Zn 2.151 1.619 6.605
Zn 2.151 -1.619 2.202
Zn 2.151 -2.352 4.615
Zn 2.151 -2.352 8.596
Zn 2.151 -4.939 5.342
Zn 2.151 -4.939 7.869
Ga 2.151 0.836 2.202
Ga 2.151 -0.836 6.605

=====

20.
9
Lattice="4.083 0.000 0.000 0.000 4.083 0.000 0.000 0.000 9.068" Properties=species:S:1:pos:R:3 comment="HoZn6Ga2, optimized geometry, DFT PBE" formation_enthalpy_0k_ev_per_atom=-0.20 space_group="No. 123" vol_a3_per_fu=151.2 total_energy_ha_per_atom=-0.082 pbc="T T T"
Ho 0.000 0.000 0.000
Zn 0.000 0.000 4.534
Zn 0.000 2.041 2.722
Zn 0.000 2.041 6.346
Zn 2.041 0.000 2.722
Zn 2.041 0.000 6.346
Zn 2.041 2.041 4.534
Ga 2.041 2.041 1.212
Ga 2.041 2.041 7.856